Below is an optimized crystal structure of CaW4, with properties calculated at the PBEsol level.

Lattice parameters (Å, degrees): 5.7808 5.7808 5.7808 90.00 90.00 90.00
Closest atoms and distances in Å follow each position.
Space group Im-3m (No. 229)
Unique sites:
Ca 0.0000 0.0000 0.0000 [2 per cell]  8 W 2.50
W 0.2500 0.2500 0.2500 [8 per cell]  2 Ca 2.50

Computed properties:
**ΔH_f (0 K)**: 2905 meV per atom
**Total energy**: -85.68 eV/cell
**Calculated volume**: 19.318 Å³ per atom